Density functional theory data (GGA-PBE) for a geometry-optimized RbIr4Pb2 structure.

Properties
- total magnetic moment (μB/cell) = 2.96
- formation enthalpy at 0 K (meV per atom) = 2214.1
- DOS(E_F) (states/eV/cell) = 18.263

Cell lengths 4.875, 4.875, 15.901 Å; angles 90.00, 90.00, 90.00 degrees
Space group I4/mmm (No. 139)
Inequivalent atoms, fractional coordinates:
Rb: 0.000 0.000 0.000 [2 per cell]
Ir: 0.000 0.000 0.234 [4 per cell]
Ir: 0.000 0.500 0.000 [4 per cell]
Pb: 0.000 0.000 0.395 [4 per cell]